Computed, not measured: LaTcAs2Br after structural relaxation at the PBE level of DFT.

Properties
Raw formation energy in eV/atom: -0.345
Total DFT energy (no corrections) in eV per cell: -27.99
Energy above the lowest structure with this stoichiometry in eV/f.u.: 0.00

a b c (Å): 4.8017 4.8017 5.2645
angles (deg): 90.00 90.00 90.00
With the nearest neighbours (Å) after each atom.
Sites, in units of the cell vectors:
As 0.0000 0.5000 0.0000  2 Tc 2.40
As 0.5000 0.0000 0.0000  2 Tc 2.40
Tc 0.0000 0.0000 0.0000  4 As 2.40, 2 Br 2.63
Br 0.0000 0.0000 0.5000  2 Tc 2.63
La 0.5000 0.5000 0.5000  4 Br 3.40, 8 As 3.56

Computed, not measured: BaPd2Pt after structural relaxation at the PBE level of DFT.

Properties
Calculated formation energy in meV/atom: -158
Total DFT energy (no corrections) in eV per cell: -18.98
Energy above the lowest structure with this stoichiometry in eV/f.u.: 1.30

a b c (Å): 4.5642 5.8896 4.6673
angles (deg): 129.12 90.02 90.00
With the nearest neighbours (Å) after each atom.
Sites, in units of the cell vectors:
Ba 0.5000 0.5000 0.0000  2 Pt 2.94, 4 Pd 3.22
Pd 0.9998 0.8138 0.6277  2 Pt 2.65, 1 Pd 2.70
Pd 0.0002 0.1862 0.3723  2 Pt 2.65, 1 Pd 2.70
Pt 0.5000 0.0000 0.0000  4 Pd 2.65, 2 Ba 2.94

Computed, not measured: TaRuPb after structural relaxation at the PBE level of DFT.

Properties
Calculated formation energy in meV/atom: 728
Total DFT energy (no corrections) in eV per cell: -22.65

a b c (Å): 4.5284 4.5284 4.5284
angles (deg): 60.00 60.00 60.00
With the nearest neighbours (Å) after each atom.
Sites, in units of the cell vectors:
Pb 0.0000 0.0000 0.0000  4 Ta 2.77
Ru 0.5000 0.5000 0.5000  4 Ta 2.77
Ta 0.7500 0.7500 0.7500  4 Pb 2.77, 4 Ru 2.77

Computed, not measured: TmGe2RuRh after structural relaxation at the PBE level of DFT.

Properties
Calculated formation energy in meV/atom: -764
Total DFT energy (no corrections) in eV per cell: -34.15

a b c (Å): 4.1915 4.1915 5.8208
angles (deg): 111.10 111.10 90.00
With the nearest neighbours (Å) after each atom.
Sites, in units of the cell vectors:
Tm 0.0000 0.0000 0.0000  8 Ge 3.22, 4 Ru 3.27, 4 Rh 3.27
Ge 0.6250 0.6250 0.2500  2 Ru 2.44, 2 Rh 2.44, 1 Ge 2.50
Ge 0.3750 0.3750 0.7500  2 Ru 2.44, 2 Rh 2.44, 1 Ge 2.50
Ru 0.7500 0.2500 0.5000  4 Ge 2.44
Rh 0.2500 0.7500 0.5000  4 Ge 2.44

Computed, not measured: NbSbH2Ir after structural relaxation at the PBE level of DFT.

Properties
Total DFT energy (no corrections) in eV per cell: -26.86

a b c (Å): 3.7236 5.5009 3.7236
angles (deg): 90.00 90.00 90.00
With the nearest neighbours (Å) after each atom.
Sites, in units of the cell vectors:
Sb 0.0000 0.5000 0.0000  4 Ir 2.63, 2 Nb 2.75
Nb 0.0000 0.0000 0.0000  4 H 1.86
Ir 0.5000 0.5000 0.5000  4 Sb 2.63
H 0.0000 0.0000 0.5000  2 Nb 1.86
H 0.5000 0.0000 0.0000  2 Nb 1.86

Computed, not measured: LiCd3Hg after structural relaxation at the PBE level of DFT.

Properties
Calculated formation energy in meV/atom: -118
Total DFT energy (no corrections) in eV per cell: -11.10
Energy above the lowest structure with this stoichiometry in eV/f.u.: 0.06

a b c (Å): 5.9551 5.9551 7.8993
angles (deg): 87.30 119.00 114.81
With the nearest neighbours (Å) after each atom.
Sites, in units of the cell vectors:
Li 0.6878 0.0597 0.7475  2 Hg 2.78-2.79, 4 Cd 2.97-3.08
Li 0.3122 0.9403 0.2525  2 Hg 2.78-2.79, 4 Cd 2.97-3.08
Cd 0.7173 0.9078 0.1181  3 Li 2.97-3.14, 7 Cd 2.97-3.25, 2 Hg 3.04-3.08
Cd 0.2103 0.4009 0.1181  3 Li 2.97-3.14, 7 Cd 2.97-3.25, 2 Hg 3.04-3.08
Cd 0.7897 0.5991 0.8819  3 Li 2.97-3.14, 7 Cd 2.97-3.25, 2 Hg 3.04-3.08
Cd 0.8360 0.4442 0.2802  7 Cd 2.98-3.19, 2 Hg 3.15-3.18, 2 Li 3.21
Cd 0.2827 0.0922 0.8819  3 Li 2.97-3.14, 7 Cd 2.97-3.25, 2 Hg 3.04-3.08
Cd 0.1640 0.5558 0.7198  7 Cd 2.98-3.19, 2 Hg 3.15-3.18, 2 Li 3.21
Hg 0.7176 0.7770 0.4946  2 Li 2.78-2.79, 4 Cd 3.04-3.08
Hg 0.2824 0.2230 0.5054  2 Li 2.78-2.79, 4 Cd 3.04-3.08

Computed, not measured: La4PmNd3Se8 after structural relaxation at the PBE level of DFT.

Properties
Raw formation energy in eV/atom: -1.921
Total DFT energy (no corrections) in eV per cell: -97.38

a b c (Å): 8.5474 8.5238 8.5478
angles (deg): 120.08 120.00 90.00
With the nearest neighbours (Å) after each atom.
Sites, in units of the cell vectors:
La 0.5000 0.0000 0.0000  6 Se 3.05
La 0.5000 0.0000 0.5000  6 Se 3.04
La 0.0000 0.0000 0.0000  6 Se 3.04
La 0.0000 0.0000 0.5000  6 Se 3.04
Pm 0.0000 0.5000 0.0000  6 Se 2.99
Nd 0.5000 0.5000 0.0000  6 Se 3.00
Nd 0.5000 0.5000 0.5000  6 Se 3.00
Nd 0.0000 0.5000 0.5000  6 Se 3.00
Se 0.2474 0.7444 0.9970  1 Pm 2.99, 2 Nd 3.00, 3 La 3.04-3.05
Se 0.2475 0.7445 0.4950  1 Pm 2.99, 2 Nd 3.00, 3 La 3.04-3.05
Se 0.2515 0.2545 0.5031  3 Nd 3.00, 3 La 3.04
Se 0.7496 0.7444 0.9970  1 Pm 2.99, 2 Nd 3.00, 3 La 3.04-3.05
Se 0.2504 0.2556 0.0030  1 Pm 2.99, 2 Nd 3.00, 3 La 3.04-3.05
Se 0.7485 0.7455 0.4969  3 Nd 3.00, 3 La 3.04
Se 0.7525 0.2555 0.5050  1 Pm 2.99, 2 Nd 3.00, 3 La 3.04-3.05
Se 0.7526 0.2556 0.0030  1 Pm 2.99, 2 Nd 3.00, 3 La 3.04-3.05

Computed, not measured: Sr2TePtPb after structural relaxation at the PBE level of DFT.

Properties
Raw formation energy in eV/atom: -0.749
Total DFT energy (no corrections) in eV per cell: -20.00

a b c (Å): 6.0184 5.1692 6.0184
angles (deg): 90.00 90.00 90.00
With the nearest neighbours (Å) after each atom.
Sites, in units of the cell vectors:
Pb 0.0000 0.5000 0.0000  2 Pt 2.58
Sr 0.0000 0.0000 0.5000  2 Pt 3.01
Sr 0.5000 0.0000 0.0000  2 Pt 3.01
Te 0.5000 0.5000 0.5000  8 Sr 3.97, 4 Pb 4.26
Pt 0.0000 0.0000 0.0000  2 Pb 2.58

Computed, not measured: Nd5Ga2Os after structural relaxation at the PBE level of DFT.

Properties
Calculated formation energy in meV/atom: -344
Total DFT energy (no corrections) in eV per cell: -87.75

a b c (Å): 4.6860 7.8602 12.1863
angles (deg): 90.00 90.00 90.00
With the nearest neighbours (Å) after each atom.
Sites, in units of the cell vectors:
Nd 0.0000 0.0000 0.5000  4 Ga 3.15, 4 Nd 3.52
Nd 0.0000 0.5000 0.0000  4 Ga 3.15, 4 Nd 3.52
Nd 0.0000 0.8515 0.2067  1 Os 2.78
Nd 0.0000 0.1485 0.7933  1 Os 2.78
Nd 0.0000 0.6485 0.7067  1 Os 2.78
Nd 0.0000 0.3515 0.2933  1 Os 2.78
Nd 0.5000 0.6858 0.4256  2 Os 2.91, 1 Ga 3.21
Nd 0.5000 0.3142 0.5744  2 Os 2.91, 1 Ga 3.21
Nd 0.5000 0.8142 0.9256  2 Os 2.91, 1 Ga 3.21
Nd 0.5000 0.1858 0.0744  2 Os 2.91, 1 Ga 3.21
Ga 0.5000 0.5682 0.1672  9 Nd 3.15-3.52
Ga 0.5000 0.4318 0.8328  9 Nd 3.15-3.52
Ga 0.5000 0.9318 0.6672  9 Nd 3.15-3.52
Ga 0.5000 0.0682 0.3328  9 Nd 3.15-3.52
Os 0.0000 0.5000 0.5000  6 Nd 2.78-2.91
Os 0.0000 0.0000 0.0000  6 Nd 2.78-2.91

Computed, not measured: CuIr2N after structural relaxation at the PBE level of DFT.

Properties
Raw formation energy in eV/atom: 0.593
Total DFT energy (no corrections) in eV per cell: -55.55

a b c (Å): 6.2678 6.2678 5.2107
angles (deg): 53.03 53.03 90.00
With the nearest neighbours (Å) after each atom.
Sites, in units of the cell vectors:
Ir 0.5195 0.1250 0.2500  2 N 1.94
Ir 0.2305 0.6250 0.2500  2 N 1.94
Ir 0.3750 0.4805 0.7500  2 N 1.94
Ir 0.8750 0.7695 0.7500  2 N 1.94
Cu 0.0000 0.0000 0.0000  8 Ir 2.74-2.81, 2 N 2.74
Cu 0.7500 0.2500 0.5000  8 Ir 2.74-2.81, 2 N 2.74
N 0.5000 0.5000 0.0000  4 Ir 1.94
N 0.2500 0.7500 0.5000  4 Ir 1.94

Computed, not measured: Cd2HgOs after structural relaxation at the PBE level of DFT.

Properties
Calculated formation energy in meV/atom: 546
Total DFT energy (no corrections) in eV per cell: -11.18

a b c (Å): 4.2054 4.2068 4.2154
angles (deg): 90.00 90.00 90.00
With the nearest neighbours (Å) after each atom.
Sites, in units of the cell vectors:
Os 0.0000 0.5000 0.5000  4 Hg 2.97, 8 Cd 2.98
Hg 0.5000 0.0000 0.5000  4 Os 2.97, 8 Cd 2.98
Cd 0.0000 0.0000 0.0000  4 Cd 2.97, 4 Hg 2.98, 4 Os 2.98
Cd 0.5000 0.5000 0.0000  4 Cd 2.97, 4 Os 2.98, 4 Hg 2.98

Computed, not measured: CsGaPbF6 after structural relaxation at the PBE level of DFT.

Properties
Raw formation energy in eV/atom: -2.632
Total DFT energy (no corrections) in eV per cell: -42.51

a b c (Å): 6.0880 6.0879 6.0957
angles (deg): 90.05 89.95 59.85
With the nearest neighbours (Å) after each atom.
Sites, in units of the cell vectors:
Cs 0.9998 0.9998 0.9998  6 F 3.04-3.05
Ga 0.3334 0.3335 0.5000  6 F 1.94
Pb 0.6664 0.6664 0.4997  6 F 2.47-2.48
F 0.0645 0.3493 0.3182  1 Ga 1.94
F 0.3500 0.0642 0.6819  1 Ga 1.94
F 0.5852 0.3510 0.6823  1 Ga 1.94
F 0.0624 0.5874 0.6812  1 Ga 1.94
F 0.3503 0.5856 0.3178  1 Ga 1.94
F 0.5877 0.0628 0.3190  1 Ga 1.94

Computed, not measured: NaGa2Br8 after structural relaxation at the PBE level of DFT.

Properties
Raw formation energy in eV/atom: -0.824
Total DFT energy (no corrections) in eV per cell: -29.83
Energy above the lowest structure with this stoichiometry in eV/f.u.: 0.00

a b c (Å): 6.7022 8.9458 8.9458
angles (deg): 62.15 76.47 76.47
With the nearest neighbours (Å) after each atom.
Sites, in units of the cell vectors:
Na 0.0000 0.0000 0.0000  6 Br 3.02-3.11
Ga 0.6702 0.8303 0.8303  4 Br 2.34-2.39
Ga 0.3298 0.1697 0.1697  4 Br 2.34-2.39
Br 0.2593 0.2923 0.8825  1 Ga 2.39
Br 0.7407 0.1175 0.7077  1 Ga 2.39
Br 0.3281 0.8202 0.8202  1 Ga 2.34
Br 0.6719 0.1798 0.1798  1 Ga 2.34
Br 0.2593 0.8825 0.2923  1 Ga 2.39
Br 0.7407 0.7077 0.1175  1 Ga 2.39
Br 0.9077 0.6859 0.6859  1 Ga 2.35
Br 0.0923 0.3141 0.3141  1 Ga 2.35